(1)
This record from the Alexandria database describes a geometry-optimized AlCuPd3 structure. The functional is GGA-PBE.

Cell lengths 6.990, 6.990, 7.623 Å; angles 116.52, 116.52, 77.72 degrees
Fractional positions:
Al (0.035, 0.965, 0.750)
Al (0.344, 0.656, 0.250)
Al (0.656, 0.344, 0.750)
Al (0.965, 0.035, 0.250)
Cu (0.186, 0.591, 0.749)
Cu (0.409, 0.814, 0.751)
Cu (0.591, 0.186, 0.249)
Cu (0.814, 0.409, 0.251)
Pd (0.038, 0.733, 0.392)
Pd (0.048, 0.325, 0.040)
Pd (0.267, 0.962, 0.108)
Pd (0.324, 0.393, 0.451)
Pd (0.325, 0.048, 0.540)
Pd (0.393, 0.324, 0.951)
Pd (0.607, 0.676, 0.049)
Pd (0.675, 0.952, 0.460)
Pd (0.676, 0.607, 0.549)
Pd (0.733, 0.038, 0.892)
Pd (0.952, 0.675, 0.960)
Pd (0.962, 0.267, 0.608)

- raw total energy (eV per atom) = -5.08
- M_tot (μB/f.u.) = 0.00
- distance to the lowest polymorph of the same formula (meV/atom) = 161
- ΔH_f (0 K) (eV per formula unit) = -1.98
- space group = C2/c (15)
- calculated density (g/cm3) = 9.1

=====

(2)
This record from the Alexandria database describes a geometry-optimized AlCuPd4 structure. The functional is GGA-PBE.

Cell lengths 5.549, 5.549, 5.798 Å; angles 105.08, 105.08, 30.40 degrees
Fractional positions:
Al (0.000, 0.000, 0.000)
Cu (0.000, 0.000, 0.500)
Pd (0.346, 0.346, 0.677)
Pd (0.347, 0.347, 0.169)
Pd (0.653, 0.653, 0.831)
Pd (0.654, 0.654, 0.323)

- raw total energy (eV per atom) = -5.25
- M_tot (μB/f.u.) = 0.00
- distance to the lowest polymorph of the same formula (meV/atom) = 0
- ΔH_f (0 K) (eV per formula unit) = -2.86
- space group = C2/m (12)
- calculated density (g/cm3) = 9.9

=====

(3)
This record from the Alexandria database describes a geometry-optimized Al2CuPd structure. The functional is GGA-PBE.

Cell lengths 4.288, 4.288, 4.288 Å; angles 60.00, 60.00, 60.00 degrees
Fractional positions:
Al (0.250, 0.250, 0.250)
Al (0.750, 0.750, 0.750)
Cu (0.000, 0.000, 0.000)
Pd (0.500, 0.500, 0.500)

- raw total energy (eV per atom) = -4.74
- M_tot (μB/f.u.) = 0.00
- ΔH_f (0 K) (eV per formula unit) = -2.17
- space group = Fm-3m (225)
- calculated density (g/cm3) = 6.7

=====

(4)
This record from the Alexandria database describes a geometry-optimized AlCuPd4 structure. The functional is GGA-PBE.

Cell lengths 4.141, 4.141, 7.074 Å; angles 107.04, 107.04, 60.08 degrees
Fractional positions:
Al (0.000, 0.000, 0.000)
Cu (0.500, 0.500, 0.500)
Pd (0.124, 0.124, 0.372)
Pd (0.374, 0.374, 0.120)
Pd (0.626, 0.626, 0.880)
Pd (0.876, 0.876, 0.628)

- raw total energy (eV per atom) = -5.02
- M_tot (μB/f.u.) = 0.00
- distance to the lowest polymorph of the same formula (meV/atom) = 230
- ΔH_f (0 K) (eV per formula unit) = -1.49
- space group = C2/m (12)
- calculated density (g/cm3) = 8.7